(1)
Entry from the Alexandria database: a relaxed NaLi2Sn8 crystal (PBE).

Summary:
VASP energy   -38.61 eV/f.u.
Formation energy   -131 meV/atom
Spin magnetization   0.0 μB/f.u.
SG   C2/m

The structure in POSCAR format:
```
NaLi2Sn8
1.0
4.272 0.003 -1.292
-1.115 8.263 -3.675
0.253 -1.215 8.486
Na Li Sn
1 2 8
direct
0.500 0.000 0.000 Na
0.185 0.687 0.374 Li
0.815 0.313 0.626 Li
0.657 0.891 0.315 Sn
0.343 0.575 0.685 Sn
0.173 0.171 0.342 Sn
0.000 0.331 0.000 Sn
0.827 0.829 0.658 Sn
0.657 0.425 0.315 Sn
0.343 0.109 0.685 Sn
0.000 0.669 0.000 Sn
```

***

(2)
Entry from the Alexandria database: a relaxed NiAgGe crystal (PBE).

Summary:
VASP energy   -13.38 eV/f.u.
Formation energy   -43 meV/atom
Spin magnetization   0.0 μB/f.u.
SG   P4/nmm

The structure in POSCAR format:
```
NiAgGe
1.0
3.955 0.000 0.000
0.000 3.955 0.000
0.000 0.000 6.025
Ni Ge Ag
2 2 2
direct
0.000 0.000 0.500 Ni
0.500 0.500 0.500 Ni
0.000 0.500 0.272 Ge
0.500 0.000 0.728 Ge
0.000 0.500 0.834 Ag
0.500 0.000 0.166 Ag
```

***

(3)
Entry from the Alexandria database: a relaxed TbSm5In3 crystal (PBE).

Summary:
VASP energy   -39.57 eV/f.u.
Formation energy   -348 meV/atom
Spin magnetization   1.0 μB/f.u.
SG   P6_3/mcm

The structure in POSCAR format:
```
TbSm5In3
1.0
-6.019 1.709 -2.757
-1.394 -9.053 -2.568
-3.019 3.055 8.487
Tb Sm In
2 10 6
direct
0.000 0.000 0.000 Tb
0.500 0.000 0.000 Tb
0.000 0.667 0.334 Sm
0.500 0.333 0.666 Sm
0.000 0.333 0.666 Sm
0.500 0.667 0.334 Sm
0.750 0.665 0.665 Sm
0.750 0.000 0.335 Sm
0.750 0.335 0.000 Sm
0.250 0.335 0.335 Sm
0.250 0.000 0.665 Sm
0.250 0.665 0.000 Sm
0.750 0.330 0.330 In
0.750 0.000 0.670 In
0.750 0.670 0.000 In
0.250 0.670 0.670 In
0.250 0.000 0.330 In
0.250 0.330 0.000 In
```

***

(4)
Entry from the Alexandria database: a relaxed Lu3Al crystal (PBE).

Summary:
VASP energy   -18.11 eV/f.u.
Formation energy   -200 meV/atom
Spin magnetization   0.0 μB/f.u.
SG   Immm

The structure in POSCAR format:
```
Lu3Al
1.0
-2.304 -2.537 1.233
2.451 -3.589 -2.804
3.290 2.061 5.009
Lu Al
3 1
direct
0.281 0.697 0.561 Lu
0.500 0.417 0.000 Lu
0.719 0.136 0.439 Lu
0.000 0.917 0.000 Al
```

***

(5)
Entry from the Alexandria database: a relaxed Tm3Zr2Zn2 crystal (PBE).

Summary:
VASP energy   -33.06 eV/f.u.
Formation energy   0 meV/atom
Spin magnetization   0.0 μB/f.u.
SG   Cmmm

The structure in POSCAR format:
```
Tm3Zr2Zn2
1.0
-0.329 -4.312 1.951
3.192 0.029 0.604
-2.040 2.371 10.665
Tm Zr Zn
3 2 2
direct
0.854 0.000 0.291 Tm
0.000 0.000 0.000 Tm
0.146 0.000 0.709 Tm
0.721 0.500 0.558 Zr
0.279 0.500 0.442 Zr
0.572 0.500 0.855 Zn
0.428 0.500 0.145 Zn
```

***

(6)
Entry from the Alexandria database: a relaxed KFeBr2 crystal (PBE).

Summary:
VASP energy   -14.43 eV/f.u.
Spin magnetization   3.3 μB/f.u.
SG   R-3m
Excess energy over the best structure of this formula in the dataset   0.247 eV/atom
Formation energy (no corrections)   -381 meV per atom

The structure in POSCAR format:
```
KFeBr2
1.0
2.303 0.000 9.238
-1.151 1.994 9.238
-1.151 -1.994 9.238
K Fe Br
1 1 2
direct
0.000 0.000 0.000 K
0.500 0.500 0.500 Fe
0.884 0.884 0.884 Br
0.116 0.116 0.116 Br
```

***

(7)
Entry from the Alexandria database: a relaxed Tl2PW crystal (PBE).

Summary:
VASP energy   -18.66 eV/f.u.
Formation energy   1110 meV/atom
Spin magnetization   1.7 μB/f.u.
SG   I-4m2
Excess energy over the best structure of this formula in the dataset   0.894 eV/atom

The structure in POSCAR format:
```
Tl2PW
1.0
-1.650 -3.959 3.112
2.604 0.254 4.608
-2.686 3.676 -2.712
Tl P W
2 1 1
direct
0.000 0.000 0.000 Tl
0.250 0.750 0.500 Tl
0.750 0.250 0.500 P
0.500 0.500 0.000 W
```

***

(8)
Entry from the Alexandria database: a relaxed Mo2AuC crystal (PBE).

Summary:
VASP energy   -32.70 eV/f.u.
Formation energy   365 meV/atom
Spin magnetization   0.0 μB/f.u.
SG   R-3m
Excess energy over the best structure of this formula in the dataset   0.000 eV/atom

The structure in POSCAR format:
```
Mo2AuC
1.0
-2.912 0.552 -0.482
-1.042 0.219 -2.808
-2.792 -7.566 -1.160
Mo Au C
2 1 1
direct
0.118 0.118 0.646 Mo
0.882 0.882 0.354 Mo
0.000 0.000 0.000 Au
0.500 0.500 0.500 C
```

***

(9)
Entry from the Alexandria database: a relaxed YCrRu2 crystal (PBE).

Summary:
VASP energy   -33.44 eV/f.u.
Formation energy   300 meV/atom
Spin magnetization   2.6 μB/f.u.
SG   I-4m2
Excess energy over the best structure of this formula in the dataset   0.277 eV/atom

The structure in POSCAR format:
```
YCrRu2
1.0
-0.237 4.794 -1.994
-3.667 0.707 -3.614
0.138 -2.014 4.789
Cr Ru Y
1 2 1
direct
0.750 0.250 0.500 Cr
0.000 0.000 0.000 Ru
0.250 0.750 0.500 Ru
0.500 0.500 0.000 Y
```

***

(10)
Entry from the Alexandria database: a relaxed Sc3PaFe8 crystal (PBE).

Summary:
VASP energy   -98.96 eV/f.u.
Formation energy   -230 meV/atom
Spin magnetization   12.4 μB/f.u.
SG   R3m

The structure in POSCAR format:
```
Sc3PaFe8
1.0
-2.542 1.659 3.940
-4.116 -2.368 1.481
2.250 -4.957 6.679
Sc Pa Fe
3 1 8
direct
0.375 0.375 0.876 Sc
0.002 0.002 0.993 Sc
0.498 0.498 0.507 Sc
0.875 0.875 0.375 Pa
0.938 0.439 0.185 Fe
0.436 0.937 0.690 Fe
0.439 0.439 0.185 Fe
0.937 0.937 0.690 Fe
0.187 0.187 0.438 Fe
0.688 0.688 0.936 Fe
0.439 0.938 0.185 Fe
0.937 0.436 0.690 Fe
```

***

(11)
Entry from the Alexandria database: a relaxed Tb6Ho crystal (PBE).

Summary:
VASP energy   -30.51 eV/f.u.
Formation energy   264 meV/atom
Spin magnetization   0.0 μB/f.u.
SG   P4/nbm
Excess energy over the best structure of this formula in the dataset   0.000 eV/atom

The structure in POSCAR format:
```
Tb6Ho
1.0
6.470 0.000 0.000
0.000 6.470 0.000
0.000 0.000 11.005
Tb Ho
12 2
direct
0.500 0.500 0.139 Tb
0.000 0.000 0.139 Tb
0.000 0.000 0.861 Tb
0.500 0.500 0.861 Tb
0.832 0.668 0.362 Tb
0.332 0.832 0.362 Tb
0.668 0.168 0.362 Tb
0.168 0.332 0.362 Tb
0.668 0.832 0.638 Tb
0.168 0.668 0.638 Tb
0.832 0.332 0.638 Tb
0.332 0.168 0.638 Tb
0.500 0.000 0.000 Ho
0.000 0.500 0.000 Ho
```

***

(12)
Entry from the Alexandria database: a relaxed AcYLuSc crystal (PBE).

Summary:
VASP energy   -20.99 eV/f.u.
Formation energy   108 meV/atom
Spin magnetization   0.0 μB/f.u.
SG   F-43m

The structure in POSCAR format:
```
AcYLuSc
1.0
-3.047 -2.381 -4.162
-5.060 -2.313 1.151
-4.755 2.512 -1.834
Y Sc Ac Lu
1 1 1 1
direct
0.750 0.750 0.750 Y
0.000 0.000 0.000 Sc
0.250 0.250 0.250 Ac
0.500 0.500 0.500 Lu
```

***

(13)
Entry from the Alexandria database: a relaxed Li2Cd2Fe crystal (PBE).

Summary:
VASP energy   -13.16 eV/f.u.
Formation energy   193 meV/atom
Spin magnetization   2.8 μB/f.u.
SG   P4/mbm
Excess energy over the best structure of this formula in the dataset   0.012 eV/atom

The structure in POSCAR format:
```
Li2Cd2Fe
1.0
-0.518 -3.985 6.374
-2.829 -5.816 -3.866
2.791 -1.065 -0.439
Li Fe Cd
4 2 4
direct
0.155 0.655 0.500 Li
0.655 0.845 0.500 Li
0.845 0.345 0.500 Li
0.345 0.155 0.500 Li
0.000 0.000 0.000 Fe
0.500 0.500 0.000 Fe
0.354 0.854 0.000 Cd
0.854 0.646 0.000 Cd
0.646 0.146 0.000 Cd
0.146 0.354 0.000 Cd
```

***

(14)
Entry from the Alexandria database: a relaxed AsIrS crystal (PBE).

Summary:
VASP energy   -18.27 eV/f.u.
Spin magnetization   0.0 μB/f.u.
SG   Pm
Formation energy (no corrections)   -210 meV per atom

The structure in POSCAR format:
```
AsIrS
1.0
-5.754 -1.120 0.172
0.633 -2.986 1.742
1.979 3.580 5.417
As Ir S
2 2 2
direct
0.788 0.500 0.336 As
0.957 0.500 0.738 As
0.639 0.000 0.537 Ir
0.271 0.500 0.538 Ir
0.435 0.000 0.783 S
0.227 0.000 0.293 S
```

***

(15)
Entry from the Alexandria database: a relaxed LiLa2Sc crystal (PBE).

Summary:
VASP energy   -17.19 eV/f.u.
Formation energy   228 meV/atom
Spin magnetization   2.3 μB/f.u.
SG   F-43m
Excess energy over the best structure of this formula in the dataset   0.140 eV/atom

The structure in POSCAR format:
```
LiLa2Sc
1.0
5.478 0.000 0.000
2.739 4.744 0.000
2.739 1.581 4.472
La Li Sc
2 1 1
direct
0.000 0.000 0.000 La
0.250 0.250 0.250 La
0.500 0.500 0.500 Li
0.750 0.750 0.750 Sc
```

***

(16)
Entry from the Alexandria database: a relaxed MgGaC3 crystal (PBE).

Summary:
VASP energy   -18.10 eV/f.u.
Formation energy   2838 meV/atom
Spin magnetization   0.0 μB/f.u.
SG   Pm-3m
Excess energy over the best structure of this formula in the dataset   0.515 eV/atom

The structure in POSCAR format:
```
MgGaC3
1.0
4.124 0.000 0.000
0.000 4.124 0.000
0.000 0.000 4.124
Mg C Ga
1 3 1
direct
0.000 0.000 0.000 Mg
0.000 0.500 0.000 C
0.000 0.000 0.500 C
0.500 0.000 0.000 C
0.500 0.500 0.500 Ga
```

***

(17)
Entry from the Alexandria database: a relaxed ThCdAs2 crystal (PBE).

Summary:
VASP energy   -20.48 eV/f.u.
Formation energy   -710 meV/atom
Spin magnetization   0.0 μB/f.u.
SG   P4/mmm

The structure in POSCAR format:
```
ThCdAs2
1.0
-3.808 -0.621 0.042
0.366 -2.523 -4.115
0.690 -4.057 2.549
As Th Cd
2 1 1
direct
0.000 0.000 0.500 As
0.000 0.500 0.000 As
0.500 0.500 0.500 Th
0.500 0.000 0.000 Cd
```

***

(18)
Entry from the Alexandria database: a relaxed BaCa2Hg6 crystal (PBE).

Summary:
VASP energy   -11.66 eV/f.u.
Formation energy   -436 meV/atom
Spin magnetization   0.0 μB/f.u.
SG   P6/mmm

The structure in POSCAR format:
```
BaCa2Hg6
1.0
-1.926 1.532 2.816
-7.509 -0.836 -4.682
2.639 -6.567 5.378
Ba Ca Hg
1 2 6
direct
0.000 0.000 0.000 Ba
0.000 0.333 0.667 Ca
0.000 0.667 0.333 Ca
0.500 0.339 0.339 Hg
0.500 0.661 0.661 Hg
0.500 0.000 0.661 Hg
0.500 0.661 0.000 Hg
0.500 0.339 0.000 Hg
0.500 0.000 0.339 Hg
```

***

(19)
Entry from the Alexandria database: a relaxed NaCrSb crystal (PBE).

Summary:
VASP energy   -14.53 eV/f.u.
Spin magnetization   0.0 μB/f.u.
SG   R-3m
Formation energy (no corrections)   178 meV per atom

The structure in POSCAR format:
```
NaCrSb
1.0
3.703 0.000 0.000
1.851 3.207 0.000
1.851 1.069 12.495
Cr Na Sb
2 2 2
direct
0.321 0.321 0.038 Cr
0.679 0.679 0.962 Cr
0.124 0.124 0.628 Na
0.876 0.876 0.372 Na
0.392 0.392 0.825 Sb
0.608 0.608 0.175 Sb
```

***

(20)
Entry from the Alexandria database: a relaxed TbCu3Ni crystal (PBE).

Summary:
VASP energy   -23.56 eV/f.u.
Formation energy   -171 meV/atom
Spin magnetization   0.0 μB/f.u.
SG   Cmcm
Excess energy over the best structure of this formula in the dataset   0.000 eV/atom

The structure in POSCAR format:
```
TbCu3Ni
1.0
4.889 0.000 0.000
0.000 4.849 -2.029
0.000 -0.132 6.494
Tb Cu Ni
2 6 2
direct
0.250 0.395 0.790 Tb
0.750 0.605 0.210 Tb
0.250 0.815 0.629 Cu
0.750 0.185 0.371 Cu
0.250 0.382 0.295 Cu
0.750 0.618 0.705 Cu
0.250 0.913 0.295 Cu
0.750 0.087 0.705 Cu
0.000 0.000 0.000 Ni
0.500 0.000 0.000 Ni
```

***

(21)
Entry from the Alexandria database: a relaxed ErB4Ru crystal (PBE).

Summary:
VASP energy   -37.59 eV/f.u.
Formation energy   494 meV/atom
Spin magnetization   0.0 μB/f.u.
SG   F-43m
Excess energy over the best structure of this formula in the dataset   1.142 eV/atom

The structure in POSCAR format:
```
ErB4Ru
1.0
4.472 0.000 0.000
2.236 3.873 0.000
2.236 1.291 3.651
Ru B Er
1 4 1
direct
0.250 0.250 0.250 Ru
0.651 0.651 0.046 B
0.651 0.046 0.651 B
0.651 0.651 0.651 B
0.046 0.651 0.651 B
0.000 0.000 0.000 Er
```

***

(22)
Entry from the Alexandria database: a relaxed CaNbBr2 crystal (PBE).

Summary:
VASP energy   -16.20 eV/f.u.
Spin magnetization   4.0 μB/f.u.
SG   I-42d
Excess energy over the best structure of this formula in the dataset   0.103 eV/atom
Formation energy (no corrections)   -196 meV per atom

The structure in POSCAR format:
```
CaNbBr2
1.0
5.177 0.000 0.000
0.000 5.177 0.000
2.588 2.588 8.783
Nb Ca Br
2 2 4
direct
0.000 0.000 0.000 Nb
0.750 0.250 0.500 Nb
0.500 0.500 0.000 Ca
0.250 0.750 0.500 Ca
0.651 0.125 0.250 Br
0.099 0.625 0.250 Br
0.375 0.349 0.750 Br
0.875 0.901 0.750 Br
```

***

(23)
Entry from the Alexandria database: a relaxed Mn2Bi2Cl crystal (PBE).

Summary:
VASP energy   -27.18 eV/f.u.
Spin magnetization   0.0 μB/f.u.
SG   I4/mmm
Excess energy over the best structure of this formula in the dataset   0.000 eV/atom
Formation energy (no corrections)   153 meV per atom

The structure in POSCAR format:
```
Mn2Bi2Cl
1.0
3.407 0.000 0.000
0.000 3.407 0.000
1.703 1.703 9.019
Mn Bi Cl
2 2 1
direct
0.750 0.250 0.500 Mn
0.250 0.750 0.500 Mn
0.374 0.374 0.252 Bi
0.626 0.626 0.748 Bi
0.000 0.000 0.000 Cl
```

***

(24)
Entry from the Alexandria database: a relaxed MgHN2O crystal (PBE).

Summary:
VASP energy   -23.21 eV/f.u.
Spin magnetization   0.3 μB/f.u.
SG   P4/mmm

The structure in POSCAR format:
```
MgHN2O
1.0
-0.242 2.473 -1.310
-2.788 -0.100 0.326
0.540 2.987 5.538
H Mg O N
1 1 1 2
direct
0.000 0.000 0.000 H
0.500 0.500 0.500 Mg
0.000 0.000 0.500 O
0.000 0.500 0.000 N
0.500 0.000 0.000 N
```

***

(25)
Entry from the Alexandria database: a relaxed Tb6PmHo6 crystal (PBE).

Summary:
VASP energy   -56.39 eV/f.u.
Formation energy   278 meV/atom
Spin magnetization   3.2 μB/f.u.
SG   P6/mmm

The structure in POSCAR format:
```
Tb6PmHo6
1.0
-0.744 -6.588 0.230
4.371 2.700 -4.197
8.082 -0.633 8.010
Tb Pm Ho
6 1 6
direct
0.000 0.000 0.652 Tb
0.000 0.000 0.348 Tb
0.333 0.667 0.000 Tb
0.667 0.333 0.000 Tb
0.333 0.667 0.500 Tb
0.667 0.333 0.500 Tb
0.000 0.000 0.000 Pm
0.000 0.500 0.755 Ho
0.500 0.000 0.755 Ho
0.500 0.500 0.755 Ho
0.500 0.000 0.245 Ho
0.000 0.500 0.245 Ho
0.500 0.500 0.245 Ho
```

***

(26)
Entry from the Alexandria database: a relaxed NaCaCdPd2 crystal (PBE).

Summary:
VASP energy   -14.24 eV/f.u.
Formation energy   76 meV/atom
Spin magnetization   0.0 μB/f.u.
SG   P4/mmm

The structure in POSCAR format:
```
NaCaCdPd2
1.0
-3.880 2.241 -2.503
1.943 -1.496 -4.352
-2.701 -4.354 0.290
Na Ca Pd Cd
1 1 2 1
direct
0.000 0.500 0.000 Na
0.500 0.500 0.500 Ca
0.000 0.000 0.500 Pd
0.500 0.000 0.000 Pd
0.000 0.000 0.000 Cd
```